[1]
The following is a PBE calculation of a relaxed InAs2Cl8 crystal, from Alexandria via LeMat-Bulk.

Cell lengths 7.850, 7.850, 6.982 Å; angles 91.88, 91.88, 72.44 degrees
Atoms (fractional coordinates):
In: 0.000 0.000 0.000
As: 0.259 0.259 0.393
As: 0.741 0.741 0.607
Cl: 0.015 0.650 0.743
Cl: 0.126 0.126 0.732
Cl: 0.350 0.985 0.257
Cl: 0.395 0.395 0.198
Cl: 0.605 0.605 0.802
Cl: 0.650 0.015 0.743
Cl: 0.874 0.874 0.268
Cl: 0.985 0.350 0.257

## Properties
- spin magnetization (μB per atom) = 0.085

[2]
The following is a PBE calculation of a relaxed InAs2Cl crystal, from Alexandria via LeMat-Bulk.

Cell lengths 9.228, 9.228, 9.228 Å; angles 20.81, 20.81, 20.81 degrees
Atoms (fractional coordinates):
In: 0.000 0.000 0.000
As: 0.250 0.250 0.250
As: 0.750 0.750 0.750
Cl: 0.500 0.500 0.500

## Properties
- energy above the lowest structure with this stoichiometry (meV/atom) = 616.7
- spin magnetization (μB per atom) = 0.000

[3]
The following is a PBE calculation of a relaxed InAs2Cl crystal, from Alexandria via LeMat-Bulk.

Cell lengths 3.925, 3.925, 6.305 Å; angles 90.00, 90.00, 90.00 degrees
Atoms (fractional coordinates):
In: 0.000 0.000 0.000
As: 0.500 0.500 0.192
As: 0.500 0.500 0.808
Cl: 0.000 0.000 0.500

## Properties
- energy above the lowest structure with this stoichiometry (meV/atom) = 452.0
- spin magnetization (μB per atom) = 0.000

[4]
The following is a PBE calculation of a relaxed KInAsCl crystal, from Alexandria via LeMat-Bulk.

Cell lengths 8.169, 8.169, 8.169 Å; angles 30.99, 30.99, 30.99 degrees
Atoms (fractional coordinates):
K: 0.000 0.000 0.000
In: 0.480 0.480 0.480
As: 0.775 0.775 0.775
Cl: 0.592 0.592 0.592

## Properties
- energy above the lowest structure with this stoichiometry (meV/atom) = 7.5
- spin magnetization (μB per atom) = 0.000

Electronic total energy per entry: -3.097; -3.191; -3.356; -3.503 eV per atom